1.
YZr2Co, relaxed, DFT PBE; DOS at the Fermi energy = 4.57 states/eV/f.u.; energy above the lowest structure with this stoichiometry = 451 meV/atom; ΔE_f = 0.3012 eV/atom; magnetization = 0.63 μB/f.u.
1.0
4.9442 0.0000 0.0000
0.0000 4.9442 0.0000
0.0000 0.0000 3.3898
Zr Y Co
2 1 1
Direct
0.0000 0.0000 0.0000
0.5000 0.5000 0.0000
0.0000 0.5000 0.5000
0.5000 0.0000 0.5000

---

2.
DyPaCoCu, relaxed, DFT PBE; DOS at the Fermi energy = 5.98 states/eV/f.u.; ΔE_f = -0.0300 eV/atom; magnetization = 0.00 μB/f.u.
1.0
4.7901 0.0000 0.0000
2.3950 4.1483 0.0000
2.3950 1.3828 3.9111
Cu Co Pa Dy
1 1 1 1
Direct
0.2500 0.2500 0.2500
0.7500 0.7500 0.7500
0.0000 0.0000 0.0000
0.5000 0.5000 0.5000

---

3.
Ac2NiPd3, relaxed, DFT PBE; DOS at the Fermi energy = 5.03 states/eV/f.u.; ΔE_f = -0.6549 eV/atom; magnetization = 0.00 μB/f.u.
1.0
-2.2006 3.2252 1.2125
-2.1883 -0.0269 -3.8999
-5.3575 -4.7980 3.0393
Ni Pd Ac
1 3 2
Direct
0.5000 0.5000 0.3270
0.5000 0.0000 0.8396
0.5000 0.0000 0.1846
0.5000 0.5000 0.6465
0.0000 0.0000 0.4997
0.0000 0.5000 0.0027